(1)
The following is a GGA-PBE calculation of HfCdSb after structural relaxation, from Alexandria.

Values from the calculation:
DOS(E_F), states/eV per atom: 0.772
Raw total energy, eV per atom: -5.006
Formation energy without anion corrections, eV/atom: -0.009

a = 15.359 Å, b = 3.308 Å, c = 3.308 Å
α = 58.04°, β = 90.00°, γ = 90.00°
Positions (direct):
Hf: 0.000 0.000 0.000
Hf: 0.500 0.041 0.041
Cd: 0.161 0.327 0.327
Cd: 0.839 0.327 0.327
Sb: 0.345 0.717 0.717
Sb: 0.655 0.717 0.717

=====

(2)
The following is a GGA-PBE calculation of CeEuZnRu after structural relaxation, from Alexandria.

Values from the calculation:
DOS(E_F), states/eV per atom: 1.359
Energy relative to the elements, meV per atom: -118.3
Raw total energy, eV per atom: -6.808

a = 5.010 Å, b = 5.010 Å, c = 5.010 Å
α = 60.00°, β = 60.00°, γ = 60.00°
Positions (direct):
Ce: 0.000 0.000 0.000
Eu: 0.500 0.500 0.500
Zn: 0.250 0.250 0.250
Ru: 0.750 0.750 0.750

=====

(3)
The following is a GGA-PBE calculation of CrPPtS2 after structural relaxation, from Alexandria.

Values from the calculation:
Energy relative to the lowest polymorph listed for this composition, meV per atom: 567
DOS(E_F), states/eV per atom: 1.176
Raw total energy, eV per atom: -4.706
Formation energy without anion corrections, eV/atom: 1.160

a = 4.788 Å, b = 4.788 Å, c = 4.488 Å
α = 90.00°, β = 90.00°, γ = 90.00°
Positions (direct):
Cr: 0.000 0.000 0.000
P: 0.500 0.500 0.000
Pt: 0.500 0.500 0.500
S: 0.000 0.500 0.500
S: 0.500 0.000 0.500

=====

(4)
The following is a GGA-PBE calculation of GdPdRh after structural relaxation, from Alexandria.

Values from the calculation:
DOS(E_F), states/eV per atom: 0.098
Energy relative to the elements, meV per atom: -602.2
Raw total energy, eV per atom: -9.477

a = 4.369 Å, b = 4.369 Å, c = 3.729 Å
α = 90.00°, β = 90.00°, γ = 120.00°
Positions (direct):
Gd: 0.000 0.000 0.000
Pd: 0.333 0.667 0.500
Rh: 0.667 0.333 0.500

=====

(5)
The following is a GGA-PBE calculation of Sm6Dy2Ho3In after structural relaxation, from Alexandria.

Values from the calculation:
DOS(E_F), states/eV per atom: 1.128
Energy relative to the elements, meV per atom: -39.5
Raw total energy, eV per atom: -4.539

a = 6.155 Å, b = 6.155 Å, c = 11.726 Å
α = 95.05°, β = 95.05°, γ = 120.10°
Positions (direct):
Sm: 0.082 0.410 0.748
Sm: 0.245 0.245 0.251
Sm: 0.410 0.082 0.748
Sm: 0.590 0.918 0.252
Sm: 0.755 0.755 0.749
Sm: 0.918 0.590 0.252
Dy: 0.334 0.666 0.500
Dy: 0.666 0.334 0.500
Ho: 0.167 0.833 0.000
Ho: 0.500 0.500 0.000
Ho: 0.833 0.167 0.000
In: 0.000 0.000 0.500

=====

(6)
The following is a GGA-PBE calculation of YW3Au after structural relaxation, from Alexandria.

Values from the calculation:
Energy relative to the lowest polymorph listed for this composition, meV per atom: 914
DOS(E_F), states/eV per atom: 1.125
Energy relative to the elements, meV per atom: 3026.8
Raw total energy, eV per atom: -6.693

a = 4.785 Å, b = 4.785 Å, c = 4.785 Å
α = 90.00°, β = 90.00°, γ = 90.00°
Positions (direct):
Y: 0.000 0.000 0.000
W: 0.000 0.000 0.500
W: 0.000 0.500 0.000
W: 0.500 0.000 0.000
Au: 0.500 0.500 0.500

=====

(7)
The following is a GGA-PBE calculation of YTlIN2 after structural relaxation, from Alexandria.

Values from the calculation:
Energy relative to the lowest polymorph listed for this composition, meV per atom: 0
DOS(E_F), states/eV per atom: 0.948
Raw total energy, eV per atom: -4.903
Formation energy without anion corrections, eV/atom: 0.503

a = 4.579 Å, b = 4.579 Å, c = 6.405 Å
α = 90.00°, β = 90.00°, γ = 90.00°
Positions (direct):
Y: 0.000 0.000 0.000
Tl: 0.500 0.500 0.500
I: 0.000 0.000 0.500
N: 0.000 0.500 0.000
N: 0.500 0.000 0.000

=====

(8)
The following is a GGA-PBE calculation of KTe2W after structural relaxation, from Alexandria.

Values from the calculation:
Energy relative to the lowest polymorph listed for this composition, meV per atom: 888
DOS(E_F), states/eV per atom: 0.623
Raw total energy, eV per atom: -4.247
Formation energy without anion corrections, eV/atom: 0.836

a = 6.280 Å, b = 6.280 Å, c = 6.280 Å
α = 138.62°, β = 138.62°, γ = 59.96°
Positions (direct):
K: 0.000 0.000 0.000
Te: 0.250 0.750 0.500
Te: 0.500 0.500 0.000
W: 0.750 0.250 0.500

=====

(9)
The following is a GGA-PBE calculation of PmTmIrPb after structural relaxation, from Alexandria.

Values from the calculation:
Energy relative to the lowest polymorph listed for this composition, meV per atom: 215
DOS(E_F), states/eV per atom: 0.938
Energy relative to the elements, meV per atom: -438.9
Raw total energy, eV per atom: -5.887

a = 5.171 Å, b = 5.171 Å, c = 5.171 Å
α = 60.00°, β = 60.00°, γ = 60.00°
Positions (direct):
Pm: 0.000 0.000 0.000
Tm: 0.500 0.500 0.500
Ir: 0.750 0.750 0.750
Pb: 0.250 0.250 0.250

=====

(10)
The following is a GGA-PBE calculation of TbCe2Dy3Ho6 after structural relaxation, from Alexandria.

Values from the calculation:
DOS(E_F), states/eV per atom: 1.780
Energy relative to the elements, meV per atom: 46.2
Raw total energy, eV per atom: -4.768

a = 6.112 Å, b = 6.112 Å, c = 11.687 Å
α = 95.00°, β = 95.00°, γ = 119.99°
Positions (direct):
Tb: 0.000 0.000 0.000
Ce: 0.333 0.667 0.000
Ce: 0.667 0.333 0.000
Dy: 0.166 0.834 0.500
Dy: 0.500 0.500 0.500
Dy: 0.834 0.166 0.500
Ho: 0.084 0.419 0.249
Ho: 0.252 0.252 0.751
Ho: 0.419 0.084 0.249
Ho: 0.581 0.916 0.751
Ho: 0.748 0.748 0.249
Ho: 0.916 0.581 0.751

=====

(11)
The following is a GGA-PBE calculation of La6PdRuPt2 after structural relaxation, from Alexandria.

Values from the calculation:
DOS(E_F), states/eV per atom: 0.748
Energy relative to the elements, meV per atom: -699.3
Raw total energy, eV per atom: -6.311

a = 7.260 Å, b = 7.261 Å, c = 7.941 Å
α = 90.06°, β = 117.20°, γ = 119.90°
Positions (direct):
La: 0.000 0.000 0.000
La: 0.004 0.850 0.483
La: 0.297 0.488 0.483
La: 0.331 0.666 0.000
La: 0.659 0.144 0.482
La: 0.666 0.335 0.000
Pd: 0.811 0.572 0.718
Ru: 0.817 0.076 0.229
Pt: 0.499 0.917 0.750
Pt: 0.505 0.420 0.259

=====

(12)
The following is a GGA-PBE calculation of Nd2YZn4 after structural relaxation, from Alexandria.

Values from the calculation:
DOS(E_F), states/eV per atom: 0.843
Energy relative to the elements, meV per atom: -106.0
Raw total energy, eV per atom: -3.120

a = 8.896 Å, b = 8.896 Å, c = 8.896 Å
α = 32.71°, β = 32.71°, γ = 32.71°
Positions (direct):
Nd: 0.244 0.244 0.244
Nd: 0.756 0.756 0.756
Y: 0.000 0.000 0.000
Zn: 0.124 0.124 0.124
Zn: 0.372 0.372 0.372
Zn: 0.628 0.628 0.628
Zn: 0.876 0.876 0.876

=====

(13)
The following is a GGA-PBE calculation of La12Y3Sc after structural relaxation, from Alexandria.

Values from the calculation:
DOS(E_F), states/eV per atom: 1.323
Energy relative to the elements, meV per atom: 14.7
Raw total energy, eV per atom: -5.289

a = 5.189 Å, b = 5.189 Å, c = 20.763 Å
α = 90.00°, β = 90.00°, γ = 90.00°
Positions (direct):
La: 0.000 0.000 0.000
La: 0.000 0.000 0.248
La: 0.000 0.000 0.500
La: 0.000 0.000 0.752
La: 0.000 0.500 0.121
La: 0.000 0.500 0.374
La: 0.000 0.500 0.626
La: 0.000 0.500 0.879
La: 0.500 0.000 0.121
La: 0.500 0.000 0.374
La: 0.500 0.000 0.626
La: 0.500 0.000 0.879
Y: 0.500 0.500 0.248
Y: 0.500 0.500 0.500
Y: 0.500 0.500 0.752
Sc: 0.500 0.500 0.000

=====

(14)
The following is a GGA-PBE calculation of K2Nb3TcO12 after structural relaxation, from Alexandria.

Values from the calculation:
Raw total energy, eV per atom: -7.819
Formation energy without anion corrections, eV/atom: -2.137

a = 7.436 Å, b = 7.436 Å, c = 7.436 Å
α = 60.40°, β = 60.40°, γ = 60.40°
Positions (direct):
K: 0.107 0.107 0.107
K: 0.893 0.893 0.893
Nb: 0.000 0.500 0.500
Nb: 0.500 0.000 0.500
Nb: 0.500 0.500 0.000
Tc: 0.500 0.500 0.500
O: 0.185 0.185 0.564
O: 0.185 0.564 0.185
O: 0.203 0.558 0.558
O: 0.436 0.815 0.815
O: 0.442 0.442 0.797
O: 0.442 0.797 0.442
O: 0.558 0.203 0.558
O: 0.558 0.558 0.203
O: 0.564 0.185 0.185
O: 0.797 0.442 0.442
O: 0.815 0.436 0.815
O: 0.815 0.815 0.436

=====

(15)
The following is a GGA-PBE calculation of NdSnPd3 after structural relaxation, from Alexandria.

Values from the calculation:
Energy relative to the lowest polymorph listed for this composition, meV per atom: 4
DOS(E_F), states/eV per atom: 0.699
Energy relative to the elements, meV per atom: -644.8
Raw total energy, eV per atom: -5.515

a = 7.227 Å, b = 7.227 Å, c = 5.258 Å
α = 90.00°, β = 90.00°, γ = 132.19°
Positions (direct):
Nd: 0.090 0.910 0.750
Nd: 0.910 0.090 0.250
Sn: 0.314 0.686 0.250
Sn: 0.686 0.314 0.750
Pd: 0.103 0.404 0.750
Pd: 0.404 0.103 0.250
Pd: 0.500 0.500 0.000
Pd: 0.500 0.500 0.500
Pd: 0.596 0.897 0.750
Pd: 0.897 0.596 0.250

=====

(16)
The following is a GGA-PBE calculation of CaSnSe2N after structural relaxation, from Alexandria.

Values from the calculation:
Energy relative to the lowest polymorph listed for this composition, meV per atom: 506
DOS(E_F), states/eV per atom: 0.979
Raw total energy, eV per atom: -3.904
Formation energy without anion corrections, eV/atom: 0.356

a = 5.532 Å, b = 5.532 Å, c = 4.514 Å
α = 90.00°, β = 90.00°, γ = 90.00°
Positions (direct):
Ca: 0.000 0.000 0.000
Sn: 0.500 0.500 0.500
Se: 0.000 0.500 0.000
Se: 0.500 0.000 0.000
N: 0.000 0.000 0.500

=====

(17)
The following is a GGA-PBE calculation of PrEr3Cd6 after structural relaxation, from Alexandria.

Values from the calculation:
DOS(E_F), states/eV per atom: 0.803
Energy relative to the elements, meV per atom: -278.5
Raw total energy, eV per atom: -2.674

a = 9.170 Å, b = 5.209 Å, c = 11.156 Å
α = 90.00°, β = 106.67°, γ = 90.00°
Positions (direct):
Pr: 0.060 0.250 0.388
Pr: 0.940 0.750 0.612
Er: 0.240 0.250 0.999
Er: 0.352 0.750 0.802
Er: 0.470 0.250 0.607
Er: 0.530 0.750 0.393
Er: 0.648 0.250 0.198
Er: 0.760 0.750 0.001
Cd: 0.055 0.750 0.910
Cd: 0.146 0.750 0.199
Cd: 0.164 0.250 0.700
Cd: 0.255 0.750 0.509
Cd: 0.354 0.250 0.291
Cd: 0.453 0.750 0.097
Cd: 0.547 0.250 0.903
Cd: 0.646 0.750 0.709
Cd: 0.745 0.250 0.491
Cd: 0.836 0.750 0.300
Cd: 0.854 0.250 0.801
Cd: 0.945 0.250 0.090

=====

(18)
The following is a GGA-PBE calculation of Zr3Pt5 after structural relaxation, from Alexandria.

Values from the calculation:
DOS(E_F), states/eV per atom: 0.609
Energy relative to the elements, meV per atom: -886.3
Raw total energy, eV per atom: -7.867

a = 8.068 Å, b = 8.068 Å, c = 5.498 Å
α = 90.00°, β = 90.00°, γ = 120.00°
Positions (direct):
Zr: 0.000 0.307 0.250
Zr: 0.000 0.693 0.750
Zr: 0.307 0.000 0.250
Zr: 0.307 0.307 0.750
Zr: 0.693 0.000 0.750
Zr: 0.693 0.693 0.250
Pt: 0.000 0.355 0.750
Pt: 0.000 0.645 0.250
Pt: 0.333 0.667 0.000
Pt: 0.333 0.667 0.500
Pt: 0.355 0.000 0.750
Pt: 0.355 0.355 0.250
Pt: 0.645 0.000 0.250
Pt: 0.645 0.645 0.750
Pt: 0.667 0.333 0.000
Pt: 0.667 0.333 0.500

=====

(19)
The following is a GGA-PBE calculation of CaNi2P3 after structural relaxation, from Alexandria.

Values from the calculation:
DOS(E_F), states/eV per atom: 0.358
Energy relative to the elements, meV per atom: -313.2
Raw total energy, eV per atom: -5.279

a = 9.130 Å, b = 9.130 Å, c = 3.754 Å
α = 90.00°, β = 90.00°, γ = 120.00°
Positions (direct):
Ca: 0.000 0.000 0.000
Ca: 0.333 0.667 0.500
Ca: 0.667 0.333 0.500
Ni: 0.179 0.357 0.000
Ni: 0.179 0.821 0.000
Ni: 0.357 0.179 0.000
Ni: 0.643 0.821 0.000
Ni: 0.821 0.179 0.000
Ni: 0.821 0.643 0.000
P: 0.000 0.295 0.500
P: 0.000 0.500 0.000
P: 0.000 0.705 0.500
P: 0.295 0.000 0.500
P: 0.295 0.295 0.500
P: 0.500 0.000 0.000
P: 0.500 0.500 0.000
P: 0.705 0.000 0.500
P: 0.705 0.705 0.500

=====

(20)
The following is a GGA-PBE calculation of MoOsRu4 after structural relaxation, from Alexandria.

Values from the calculation:
Energy relative to the lowest polymorph listed for this composition, meV per atom: 0
DOS(E_F), states/eV per atom: 0.872
Energy relative to the elements, meV per atom: -21.6
Raw total energy, eV per atom: -9.882

a = 2.753 Å, b = 4.356 Å, c = 7.260 Å
α = 90.00°, β = 100.86°, γ = 90.00°
Positions (direct):
Mo: 0.000 0.000 0.000
Os: 0.779 0.500 0.555
Ru: 0.113 0.500 0.222
Ru: 0.331 0.000 0.661
Ru: 0.446 0.500 0.888
Ru: 0.667 0.000 0.332